Below is an optimized crystal structure of La2AlZn2, with properties calculated at the PBE level.

Unit cell a=5.6403 b=5.6403 c=5.6403 alpha=115.59 beta=115.59 gamma=97.83
Element x y z (fractional)
La  0.2500  0.7500  0.5000
La  0.7500  0.2500  0.5000
Al  0.0000  0.0000  0.0000
Zn  0.3436  0.3436  0.0000
Zn  0.6564  0.6564  0.0000

Values from the calculation:
Relative energy among the computed polymorphs: 269 meV per atom
Symmetry: I4/mmm (139)
Formation energy from the elements: -2.09 kcal/mol of atoms
Crystal system: tetragonal

Below is an optimized crystal structure of SnRhF2, with properties calculated at the PBE level.

Unit cell a=8.4212 b=8.4212 c=8.4212 alpha=153.55 beta=153.55 gamma=37.76
Element x y z (fractional)
Sn  0.0000  0.0000  0.0000
Sn  0.7500  0.2500  0.5000
Rh  0.2500  0.7500  0.5000
Rh  0.5000  0.5000  0.0000
F  0.1318  0.6250  0.0068
F  0.3750  0.3818  0.5068
F  0.6182  0.1250  0.9932
F  0.8750  0.8682  0.4932

Values from the calculation:
Relative energy among the computed polymorphs: 0 meV per atom
Symmetry: I-42d (122)
E_form (uncorrected): -1032 meV/atom
Crystal system: tetragonal

Below is an optimized crystal structure of Pm4Ga2Ni, with properties calculated at the PBE level.

Unit cell a=8.4293 b=8.4293 c=8.4293 alpha=144.41 beta=144.41 gamma=51.21
Element x y z (fractional)
Pm  0.0000  0.5000  0.5000
Pm  0.1869  0.1869  0.0000
Pm  0.5000  0.0000  0.5000
Pm  0.8131  0.8131  0.0000
Ga  0.3788  0.3788  0.0000
Ga  0.6212  0.6212  0.0000
Ni  0.0000  0.0000  0.0000

Values from the calculation:
Relative energy among the computed polymorphs: 94 meV per atom
Symmetry: I4/mmm (139)
Formation energy from the elements: -4.80 kcal/mol of atoms
Crystal system: tetragonal